Record 1
Here is a geometry-optimized Tb2Ce3HoBi6 structure from the Alexandria database. Energies are from PBE-GGA.

Cell lengths 7.8716, 7.8716, 7.8637 Å; angles 99.61, 99.61, 120.00 degrees
Site moments in Bohr magnetons follow the coordinates.
Element x y z (fractional)
Tb: 0.3336 0.6664 0.0000  -0.01
Tb: 0.6664 0.3336 0.0000  -0.01
Ce: 0.1673 0.8327 0.5000  0.83
Ce: 0.8327 0.1673 0.5000  0.83
Ce: 0.5000 0.5000 0.5000  0.83
Ho: 0.0000 0.0000 0.0000  -0.01
Bi: 0.9190 0.5869 0.7567  -0.03
Bi: 0.7494 0.7494 0.2441  -0.03
Bi: 0.0810 0.4131 0.2433  -0.03
Bi: 0.5869 0.9190 0.7567  -0.03
Bi: 0.2506 0.2506 0.7559  -0.03
Bi: 0.4131 0.0810 0.2433  -0.03

**Energy relative to the elements**: -830 meV/atom
**E**: -5.4074 eV/atom

Record 2
Here is a geometry-optimized TbCe2HoBi4 structure from the Alexandria database. Energies are from PBE-GGA.

Cell lengths 4.5416, 7.8566, 7.8676 Å; angles 70.50, 90.00, 90.00 degrees
Site moments in Bohr magnetons follow the coordinates.
Element x y z (fractional)
Tb: 0.5000 0.5000 0.0000  -0.01
Ce: 0.0000 0.0000 0.0000  0.83
Ce: 0.5000 0.0000 0.5000  0.81
Ho: 0.0000 0.5000 0.5000  -0.01
Bi: 0.0000 0.7435 0.7511  -0.03
Bi: 0.0000 0.2565 0.2489  -0.03
Bi: 0.5000 0.7428 0.2534  -0.03
Bi: 0.5000 0.2572 0.7466  -0.03

**Energy relative to the elements**: -826 meV/atom
**E**: -5.4011 eV/atom

Record 3
Here is a geometry-optimized Tb3Ce2HoBi6 structure from the Alexandria database. Energies are from PBE-GGA.

Cell lengths 4.5298, 9.0454, 10.1104 Å; angles 102.92, 102.95, 90.00 degrees
Site moments in Bohr magnetons follow the coordinates.
Element x y z (fractional)
Tb: 0.5000 0.5000 0.0000  -0.01
Tb: 0.8326 0.1660 0.6652  -0.01
Tb: 0.1674 0.8340 0.3348  -0.01
Ce: 0.8345 0.6685 0.6689  0.79
Ce: 0.1655 0.3315 0.3311  0.79
Ho: 0.5000 0.0000 0.0000  0.00
Bi: 0.3343 0.9213 0.6686  -0.02
Bi: 0.6657 0.5861 0.3314  -0.02
Bi: 0.6657 0.0787 0.3314  -0.02
Bi: 0.9982 0.2476 0.9964  -0.01
Bi: 0.0018 0.7524 0.0036  -0.01
Bi: 0.3343 0.4139 0.6686  -0.02

**Energy relative to the elements**: -843 meV/atom
**E**: -5.3118 eV/atom

Record 4
Here is a geometry-optimized CeHoBiTe structure from the Alexandria database. Energies are from PBE-GGA.

Cell lengths 4.3617, 4.3616, 8.2295 Å; angles 90.00, 105.36, 120.00 degrees
Site moments in Bohr magnetons follow the coordinates.
Element x y z (fractional)
Ce: 0.1300 0.9630 0.1083  0.97
Ho: 0.4756 0.1358 0.6266  0.03
Bi: 0.2985 0.5472 0.8610  -0.03
Te: 0.9737 0.3848 0.3737  -0.02

**E_form (uncorrected)**: -0.983 eV per atom
**E**: -5.3668 eV/atom

Record 5
Here is a geometry-optimized CeHoTh2Bi4 structure from the Alexandria database. Energies are from PBE-GGA.

Cell lengths 4.5689, 7.8969, 7.9171 Å; angles 70.49, 90.00, 90.00 degrees
Site moments in Bohr magnetons follow the coordinates.
Element x y z (fractional)
Ce: 0.5000 0.5000 0.0000  0.89
Ho: 0.0000 0.5000 0.5000  0.00
Th: 0.0000 0.0000 0.0000  0.03
Th: 0.5000 0.0000 0.5000  0.03
Bi: 0.0000 0.7451 0.7476  -0.01
Bi: 0.0000 0.2549 0.2524  -0.01
Bi: 0.5000 0.7425 0.2563  0.00
Bi: 0.5000 0.2575 0.7437  0.00

**Energy relative to the elements**: -692 meV/atom
**E**: -5.8019 eV/atom

Record 6
Here is a geometry-optimized CeHoTh2Bi5 structure from the Alexandria database. Energies are from PBE-GGA.

Cell lengths 5.4140, 5.4140, 11.8719 Å; angles 90.00, 90.00, 90.00 degrees
Site moments in Bohr magnetons follow the coordinates.
Element x y z (fractional)
Ce: 0.0000 0.0000 0.0000  0.83
Ho: 0.0000 0.0000 0.5000  -0.01
Th: 0.5000 0.5000 0.3060  -0.02
Th: 0.5000 0.5000 0.6940  -0.02
Bi: 0.0000 0.5000 0.5000  0.00
Bi: 0.5000 0.0000 0.5000  0.00
Bi: 0.0000 0.0000 0.7497  -0.01
Bi: 0.0000 0.0000 0.2503  -0.01
Bi: 0.5000 0.5000 0.0000  -0.03

**Energy relative to the elements**: 27 meV/atom
**E**: -4.9454 eV/atom

Results for total magnetization: 2.61 1.71 1.60 1.21 1.10 0.71 (in μB/f.u., following the order of the records).